No. 1
{"formula": "Ba2Li3Cd12In", "functional": "PBE-GGA", "state": "optimized geometry", "lattice_angstrom": [[3.5594, 2.0550, 11.2138], [-3.5594, 2.0550, 11.2138], [0.0000, -4.1100, 11.2138]], "species": ["Ba", "Ba", "Li", "Li", "Li", "Cd", "Cd", "Cd", "Cd", "Cd", "Cd", "Cd", "Cd", "Cd", "Cd", "Cd", "Cd", "In"], "frac_coords": [[0.1424, 0.1424, 0.1424], [0.8576, 0.8576, 0.8576], [0.0000, 0.5000, 0.5000], [0.5000, 0.0000, 0.5000], [0.5000, 0.5000, 0.0000], [0.0919, 0.0919, 0.6851], [0.0919, 0.6851, 0.0919], [0.1041, 0.5951, 0.5951], [0.3149, 0.9081, 0.9081], [0.4049, 0.4049, 0.8959], [0.4049, 0.8959, 0.4049], [0.5951, 0.1041, 0.5951], [0.5951, 0.5951, 0.1041], [0.6851, 0.0919, 0.0919], [0.8959, 0.4049, 0.4049], [0.9081, 0.3149, 0.9081], [0.9081, 0.9081, 0.3149], [0.5000, 0.5000, 0.5000]], "ef_ev_per_atom": -0.10}

=====

No. 2
{"formula": "PuGaPbO6", "functional": "PBE-GGA", "state": "optimized geometry", "lattice_angstrom": [[5.3313, 0.0000, 0.0000], [-2.6656, 4.6170, 0.0000], [0.0000, 0.0000, 10.9838]], "species": ["Pu", "Pu", "Ga", "Ga", "Pb", "Pb", "O", "O", "O", "O", "O", "O", "O", "O", "O", "O", "O", "O"], "frac_coords": [[0.3333, 0.6667, 0.2500], [0.6667, 0.3333, 0.7500], [0.3333, 0.6667, 0.7500], [0.6667, 0.3333, 0.2500], [0.0000, 0.0000, 0.0000], [0.0000, 0.0000, 0.5000], [0.0001, 0.3675, 0.1484], [0.9999, 0.3674, 0.6484], [0.0001, 0.6326, 0.3516], [0.9999, 0.6325, 0.8516], [0.3674, 0.9999, 0.1484], [0.3675, 0.0001, 0.6484], [0.3674, 0.3675, 0.3516], [0.3675, 0.3674, 0.8516], [0.6325, 0.9999, 0.3516], [0.6326, 0.0001, 0.8516], [0.6325, 0.6326, 0.1484], [0.6326, 0.6325, 0.6484]], "raw_formation_energy_ev_per_atom": -1.850}

=====

No. 3
{"formula": "Ni2AgP2", "functional": "PBE-GGA", "state": "optimized geometry", "lattice_angstrom": [[-1.7981, 1.7981, 5.4441], [1.7981, -1.7981, 5.4441], [1.7981, 1.7981, -5.4441]], "species": ["Ni", "Ni", "Ag", "P", "P"], "frac_coords": [[0.1254, 0.1254, 0.0000], [0.8746, 0.8746, 0.0000], [0.5000, 0.5000, 0.0000], [0.2500, 0.7500, 0.5000], [0.7500, 0.2500, 0.5000]], "ef_ev_per_atom": -0.02}

=====

No. 4
{"formula": "Ba2CrRe", "functional": "PBE-GGA", "state": "optimized geometry", "lattice_angstrom": [[3.2779, 0.0000, 0.0000], [0.0000, 4.0030, 0.0000], [0.0000, 0.0000, 9.3303]], "species": ["Ba", "Ba", "Cr", "Re"], "frac_coords": [[0.0000, 0.0000, 0.2215], [0.0000, 0.0000, 0.7785], [0.5000, 0.5000, 0.5000], [0.5000, 0.5000, 0.0000]], "ef_ev_per_atom": 1.33}

=====

No. 5
{"formula": "ScReAs", "functional": "PBE-GGA", "state": "optimized geometry", "lattice_angstrom": [[0.0000, 3.1066, 3.1066], [3.1066, 0.0000, 3.1066], [3.1066, 3.1066, 0.0000]], "species": ["Sc", "Re", "As"], "frac_coords": [[0.0000, 0.0000, 0.0000], [0.2500, 0.2500, 0.2500], [0.7500, 0.7500, 0.7500]], "ef_ev_per_atom": 0.65}

=====

No. 6
{"formula": "AlMoW3", "functional": "PBE-GGA", "state": "optimized geometry", "lattice_angstrom": [[4.9818, -1.5938, 0.0000], [4.9818, 1.5938, 0.0000], [-0.0472, 0.0000, 9.9687]], "species": ["Al", "Al", "Mo", "Mo", "W", "W", "W", "W", "W", "W"], "frac_coords": [[0.2488, 0.2488, 0.2491], [0.7512, 0.7512, 0.7509], [0.4573, 0.4573, 0.8484], [0.5427, 0.5427, 0.1516], [0.0438, 0.0438, 0.6515], [0.1506, 0.1506, 0.9572], [0.3492, 0.3492, 0.5431], [0.6508, 0.6508, 0.4569], [0.8494, 0.8494, 0.0428], [0.9562, 0.9562, 0.3485]], "ef_ev_per_atom": -0.04}

=====

No. 7
{"formula": "LiHgTeN2", "functional": "PBE-GGA", "state": "optimized geometry", "lattice_angstrom": [[4.2163, 0.0000, 0.0000], [0.0000, 4.2163, 0.0000], [0.0000, 0.0000, 5.7643]], "species": ["Li", "Hg", "Te", "N", "N"], "frac_coords": [[0.0000, 0.0000, 0.0000], [0.5000, 0.5000, 0.5000], [0.0000, 0.0000, 0.5000], [0.0000, 0.5000, 0.0000], [0.5000, 0.0000, 0.0000]], "raw_formation_energy_ev_per_atom": 1.528}

=====

No. 8
{"formula": "Pa3CrSi7", "functional": "PBE-GGA", "state": "optimized geometry", "lattice_angstrom": [[1.9641, -9.4182, 0.0000], [1.9641, 9.4182, 0.0000], [0.0000, 0.0000, 10.7395]], "species": ["Pa", "Pa", "Pa", "Pa", "Pa", "Pa", "Cr", "Cr", "Si", "Si", "Si", "Si", "Si", "Si", "Si", "Si", "Si", "Si", "Si", "Si", "Si", "Si"], "frac_coords": [[0.1101, 0.8899, 0.5526], [0.1101, 0.8899, 0.9474], [0.2333, 0.7667, 0.2500], [0.7667, 0.2333, 0.7500], [0.8899, 0.1101, 0.0526], [0.8899, 0.1101, 0.4474], [0.0520, 0.9480, 0.2500], [0.9480, 0.0520, 0.7500], [0.2717, 0.7283, 0.5387], [0.2717, 0.7283, 0.9613], [0.3767, 0.6233, 0.6442], [0.3767, 0.6233, 0.8558], [0.3866, 0.6134, 0.2500], [0.4991, 0.5009, 0.1165], [0.4991, 0.5009, 0.3835], [0.5009, 0.4991, 0.6165], [0.5009, 0.4991, 0.8835], [0.6134, 0.3866, 0.7500], [0.6233, 0.3767, 0.1442], [0.6233, 0.3767, 0.3558], [0.7283, 0.2717, 0.0387], [0.7283, 0.2717, 0.4613]], "raw_formation_energy_ev_per_atom": -0.353}

=====

No. 9
{"formula": "YMnPt6", "functional": "PBE-GGA", "state": "optimized geometry", "lattice_angstrom": [[4.0376, 0.0000, 0.0000], [0.0000, 4.0376, 0.0000], [0.0000, 0.0000, 8.0550]], "species": ["Y", "Mn", "Pt", "Pt", "Pt", "Pt", "Pt", "Pt"], "frac_coords": [[0.0000, 0.0000, 0.0000], [0.0000, 0.0000, 0.5000], [0.0000, 0.5000, 0.2644], [0.0000, 0.5000, 0.7356], [0.5000, 0.0000, 0.2644], [0.5000, 0.0000, 0.7356], [0.5000, 0.5000, 0.0000], [0.5000, 0.5000, 0.5000]], "ef_ev_per_atom": -0.65}

=====

No. 10
{"formula": "Mn2In2Hg", "functional": "PBE-GGA", "state": "optimized geometry", "lattice_angstrom": [[7.9257, 0.0000, 0.0000], [0.0000, 7.9257, 0.0000], [0.0000, 0.0000, 3.1390]], "species": ["Mn", "Mn", "Mn", "Mn", "In", "In", "In", "In", "Hg", "Hg"], "frac_coords": [[0.1178, 0.3822, 0.0000], [0.3822, 0.8822, 0.0000], [0.6178, 0.1178, 0.0000], [0.8822, 0.6178, 0.0000], [0.1785, 0.6785, 0.5000], [0.3215, 0.1785, 0.5000], [0.6785, 0.8215, 0.5000], [0.8215, 0.3215, 0.5000], [0.0000, 0.0000, 0.0000], [0.5000, 0.5000, 0.0000]], "ef_ev_per_atom": 0.28}

=====

No. 11
{"formula": "NiBr3Cl", "functional": "PBE-GGA", "state": "optimized geometry", "lattice_angstrom": [[4.9205, 0.0000, 0.0000], [0.0000, 4.9205, 0.0000], [0.0000, 0.0000, 4.9205]], "species": ["Ni", "Br", "Br", "Br", "Cl"], "frac_coords": [[0.0000, 0.0000, 0.0000], [0.0000, 0.0000, 0.5000], [0.0000, 0.5000, 0.0000], [0.5000, 0.0000, 0.0000], [0.5000, 0.5000, 0.5000]], "raw_formation_energy_ev_per_atom": 0.189}

=====

No. 12
{"formula": "Rb2Sn3I8", "functional": "PBE-GGA", "state": "optimized geometry", "lattice_angstrom": [[8.9579, -4.6954, 0.0000], [8.9579, 4.6954, 0.0000], [-2.4779, 0.0000, 7.8032]], "species": ["Rb", "Rb", "Sn", "Sn", "Sn", "I", "I", "I", "I", "I", "I", "I", "I"], "frac_coords": [[0.2385, 0.2385, 0.1688], [0.7615, 0.7615, 0.8312], [0.2437, 0.7563, 0.5000], [0.5000, 0.5000, 0.0000], [0.7563, 0.2437, 0.5000], [0.1109, 0.1109, 0.4513], [0.1572, 0.6313, 0.1063], [0.3687, 0.8428, 0.8937], [0.3922, 0.3922, 0.6034], [0.6078, 0.6078, 0.3966], [0.6313, 0.1572, 0.1063], [0.8428, 0.3687, 0.8937], [0.8891, 0.8891, 0.5487]], "raw_formation_energy_ev_per_atom": -0.812}

=====

No. 13
{"formula": "RbNa4Hg", "functional": "PBE-GGA", "state": "optimized geometry", "lattice_angstrom": [[10.2356, -4.2592, 0.0000], [10.2356, 4.2592, 0.0000], [-1.8760, 0.0000, 5.9153]], "species": ["Rb", "Rb", "Na", "Na", "Na", "Na", "Na", "Na", "Na", "Na", "Hg", "Hg"], "frac_coords": [[0.2133, 0.2133, 0.2142], [0.7867, 0.7867, 0.7858], [0.1381, 0.6710, 0.4053], [0.1884, 0.8116, 0.0000], [0.3290, 0.8619, 0.5947], [0.3585, 0.3585, 0.8605], [0.6415, 0.6415, 0.1395], [0.6710, 0.1381, 0.4053], [0.8116, 0.1884, 0.0000], [0.8619, 0.3290, 0.5947], [0.5002, 0.5002, 0.2597], [0.4998, 0.4998, 0.7403]], "ef_ev_per_atom": -0.06}

=====

No. 14
{"formula": "Ba6Sr", "functional": "PBE-GGA", "state": "optimized geometry", "lattice_angstrom": [[-4.7751, 4.7751, 4.7751], [4.7751, -4.7751, 4.7751], [4.7751, 4.7751, -4.7751]], "species": ["Ba", "Ba", "Ba", "Ba", "Ba", "Ba", "Sr"], "frac_coords": [[0.2500, 0.5000, 0.7500], [0.2500, 0.7500, 0.5000], [0.5000, 0.2500, 0.7500], [0.5000, 0.7500, 0.2500], [0.7500, 0.2500, 0.5000], [0.7500, 0.5000, 0.2500], [0.0000, 0.0000, 0.0000]], "ef_ev_per_atom": 0.78}

=====

No. 15
{"formula": "MgTiAlPd2", "functional": "PBE-GGA", "state": "optimized geometry", "lattice_angstrom": [[4.6713, 0.0000, 0.0000], [0.0000, 4.6713, 0.0000], [0.0000, 0.0000, 4.9261]], "species": ["Mg", "Ti", "Al", "Pd", "Pd"], "frac_coords": [[0.0000, 0.0000, 0.0000], [0.5000, 0.5000, 0.5000], [0.5000, 0.5000, 0.0000], [0.0000, 0.5000, 0.5000], [0.5000, 0.0000, 0.5000]], "ef_ev_per_atom": 0.40}

=====

No. 16
{"formula": "Tl3TcI8", "functional": "PBE-GGA", "state": "optimized geometry", "lattice_angstrom": [[9.4577, 0.0000, 0.0000], [-4.7288, 8.1906, 0.0000], [0.0000, 0.0000, 13.3162]], "species": ["Tl", "Tl", "Tl", "Tl", "Tl", "Tl", "Tc", "Tc", "I", "I", "I", "I", "I", "I", "I", "I", "I", "I", "I", "I", "I", "I", "I", "I"], "frac_coords": [[0.1611, 0.3222, 0.0000], [0.1611, 0.8389, 0.0000], [0.3222, 0.1611, 0.5000], [0.6778, 0.8389, 0.0000], [0.8389, 0.1611, 0.5000], [0.8389, 0.6778, 0.5000], [0.3333, 0.6667, 0.5040], [0.6667, 0.3333, 0.0040], [0.0000, 0.0000, 0.3386], [0.0000, 0.0000, 0.8386], [0.0633, 0.5316, 0.3834], [0.1981, 0.3962, 0.6275], [0.1981, 0.8019, 0.6275], [0.3333, 0.6667, 0.1321], [0.3962, 0.1981, 0.1275], [0.4684, 0.5316, 0.3834], [0.4684, 0.9367, 0.3834], [0.5316, 0.0633, 0.8834], [0.5316, 0.4684, 0.8834], [0.6038, 0.8019, 0.6275], [0.6667, 0.3333, 0.6321], [0.8019, 0.1981, 0.1275], [0.8019, 0.6038, 0.1275], [0.9367, 0.4684, 0.8834]], "raw_formation_energy_ev_per_atom": -0.314}

=====

No. 17
{"formula": "Th2NiPb", "functional": "PBE-GGA", "state": "optimized geometry", "lattice_angstrom": [[3.4248, 0.0000, 0.0000], [0.0000, 3.4248, 0.0000], [0.0000, 0.0000, 8.7246]], "species": ["Th", "Th", "Ni", "Pb"], "frac_coords": [[0.0000, 0.0000, 0.2067], [0.0000, 0.0000, 0.7933], [0.5000, 0.5000, 0.0000], [0.5000, 0.5000, 0.5000]], "ef_ev_per_atom": -0.28}

=====

No. 18
{"formula": "CaCePtRh", "functional": "PBE-GGA", "state": "optimized geometry", "lattice_angstrom": [[0.0000, 3.4901, 3.4901], [3.4901, 0.0000, 3.4901], [3.4901, 3.4901, 0.0000]], "species": ["Ca", "Ce", "Pt", "Rh"], "frac_coords": [[0.0000, 0.0000, 0.0000], [0.5000, 0.5000, 0.5000], [0.7500, 0.7500, 0.7500], [0.2500, 0.2500, 0.2500]], "ef_ev_per_atom": -0.76}

=====

No. 19
{"formula": "LiReAgGe2", "functional": "PBE-GGA", "state": "optimized geometry", "lattice_angstrom": [[4.7708, 0.0000, 0.0000], [0.0000, 4.7708, 0.0000], [0.0000, 0.0000, 4.9076]], "species": ["Li", "Re", "Ag", "Ge", "Ge"], "frac_coords": [[0.0000, 0.0000, 0.0000], [0.0000, 0.0000, 0.5000], [0.5000, 0.5000, 0.0000], [0.0000, 0.5000, 0.5000], [0.5000, 0.0000, 0.5000]], "ef_ev_per_atom": 0.57}

=====

No. 20
{"formula": "AcTlZnPd", "functional": "PBE-GGA", "state": "optimized geometry", "lattice_angstrom": [[0.0000, 3.6546, 3.6546], [3.6546, 0.0000, 3.6546], [3.6546, 3.6546, 0.0000]], "species": ["Ac", "Tl", "Zn", "Pd"], "frac_coords": [[0.0000, 0.0000, 0.0000], [0.5000, 0.5000, 0.5000], [0.2500, 0.2500, 0.2500], [0.7500, 0.7500, 0.7500]], "ef_ev_per_atom": -0.37}